{
  "formula": "K4Zr6FeBr18",
  "functional": "PBE",
  "state": "relaxed",
  "formation_energy_uncorrected_ev_per_fu": -42.33,
  "spacegroup": "P-1 (2)",
  "vol_a3_per_cell": 982.25,
  "cell": [[10.633, 0.000, 0.000], [-2.052, 10.531, 0.000], [-2.413, -5.700, 8.772]],
  "species": ["K", "K", "K", "K", "Zr", "Zr", "Zr", "Zr", "Zr", "Zr", "Fe", "Br", "Br", "Br", "Br", "Br", "Br", "Br", "Br", "Br", "Br", "Br", "Br", "Br", "Br", "Br", "Br", "Br", "Br"],
  "fractional_positions": [[0.152, 0.232, 0.041], [0.185, 0.571, 0.730], [0.815, 0.429, 0.270], [0.848, 0.768, 0.959], [0.341, 0.764, 0.445], [0.351, 0.958, 0.261], [0.366, 0.144, 0.638], [0.634, 0.856, 0.362], [0.649, 0.042, 0.739], [0.659, 0.236, 0.555], [0.500, 0.000, 0.500], [0.155, 0.492, 0.381], [0.163, 0.691, 0.173], [0.173, 0.906, 0.985], [0.181, 0.897, 0.590], [0.191, 0.111, 0.387], [0.218, 0.307, 0.795], [0.470, 0.581, 0.288], [0.482, 0.798, 0.085], [0.490, 0.785, 0.703], [0.510, 0.215, 0.297], [0.518, 0.202, 0.915], [0.530, 0.419, 0.712], [0.782, 0.693, 0.205], [0.809, 0.889, 0.613], [0.819, 0.103, 0.410], [0.827, 0.094, 0.015], [0.837, 0.309, 0.827], [0.845, 0.508, 0.619]]
}

=====

{
  "formula": "Na2NiPd",
  "functional": "PBE",
  "state": "relaxed",
  "delta_e_f_kj_per_mol_fu": 181,
  "spacegroup": "I-42d (122)",
  "vol_a3_per_cell": 311.17,
  "e_above_lowest_polymorph_ev_per_atom": 0.049,
  "cell": [[7.779, 0.000, 0.000], [0.000, 7.779, 0.000], [0.000, 0.000, 5.142]],
  "species": ["Na", "Na", "Na", "Na", "Na", "Na", "Na", "Na", "Ni", "Ni", "Ni", "Ni", "Pd", "Pd", "Pd", "Pd"],
  "fractional_positions": [[0.241, 0.250, 0.125], [0.250, 0.741, 0.375], [0.250, 0.759, 0.875], [0.259, 0.250, 0.625], [0.741, 0.750, 0.625], [0.750, 0.241, 0.875], [0.750, 0.259, 0.375], [0.759, 0.750, 0.125], [0.000, 0.000, 0.000], [0.000, 0.500, 0.250], [0.500, 0.000, 0.750], [0.500, 0.500, 0.500], [0.000, 0.000, 0.500], [0.000, 0.500, 0.750], [0.500, 0.000, 0.250], [0.500, 0.500, 0.000]]
}

=====

{
  "formula": "Y3In5H12",
  "functional": "PBE",
  "state": "relaxed",
  "final_energy_ev_per_atom": -3.61,
  "spacegroup": "Ia-3d (230)",
  "vol_a3_per_cell": 1075.66,
  "cell": [[-6.455, 6.455, 6.455], [6.455, -6.455, 6.455], [6.455, 6.455, -6.455]],
  "species": ["Y", "Y", "Y", "Y", "Y", "Y", "Y", "Y", "Y", "Y", "Y", "Y", "In", "In", "In", "In", "In", "In", "In", "In", "In", "In", "In", "In", "In", "In", "In", "In", "In", "In", "In", "In", "H", "H", "H", "H", "H", "H", "H", "H", "H", "H", "H", "H", "H", "H", "H", "H", "H", "H", "H", "H", "H", "H", "H", "H", "H", "H", "H", "H", "H", "H", "H", "H", "H", "H", "H", "H", "H", "H", "H", "H", "H", "H", "H", "H", "H", "H", "H", "H"],
  "fractional_positions": [[0.125, 0.250, 0.375], [0.125, 0.375, 0.750], [0.250, 0.375, 0.125], [0.250, 0.875, 0.625], [0.375, 0.125, 0.250], [0.375, 0.750, 0.125], [0.625, 0.250, 0.875], [0.625, 0.875, 0.750], [0.750, 0.125, 0.375], [0.750, 0.625, 0.875], [0.875, 0.625, 0.250], [0.875, 0.750, 0.625], [0.000, 0.000, 0.000], [0.000, 0.000, 0.500], [0.000, 0.500, 0.000], [0.000, 0.500, 0.500], [0.125, 0.750, 0.875], [0.125, 0.875, 0.250], [0.250, 0.125, 0.875], [0.250, 0.625, 0.375], [0.375, 0.250, 0.625], [0.375, 0.625, 0.750], [0.500, 0.000, 0.000], [0.500, 0.000, 0.500], [0.500, 0.500, 0.000], [0.500, 0.500, 0.500], [0.625, 0.375, 0.250], [0.625, 0.750, 0.375], [0.750, 0.375, 0.625], [0.750, 0.875, 0.125], [0.875, 0.125, 0.750], [0.875, 0.250, 0.125], [0.076, 0.659, 0.418], [0.076, 0.917, 0.658], [0.082, 0.741, 0.658], [0.082, 0.841, 0.424], [0.083, 0.241, 0.159], [0.083, 0.342, 0.924], [0.158, 0.241, 0.582], [0.158, 0.417, 0.576], [0.159, 0.083, 0.241], [0.159, 0.576, 0.918], [0.241, 0.159, 0.083], [0.241, 0.582, 0.158], [0.259, 0.342, 0.918], [0.259, 0.417, 0.341], [0.341, 0.259, 0.417], [0.341, 0.582, 0.924], [0.342, 0.918, 0.259], [0.342, 0.924, 0.083], [0.417, 0.341, 0.259], [0.417, 0.576, 0.158], [0.418, 0.076, 0.659], [0.418, 0.842, 0.759], [0.424, 0.082, 0.841], [0.424, 0.842, 0.583], [0.576, 0.158, 0.417], [0.576, 0.918, 0.159], [0.582, 0.158, 0.241], [0.582, 0.924, 0.341], [0.583, 0.424, 0.842], [0.583, 0.659, 0.741], [0.658, 0.076, 0.917], [0.658, 0.082, 0.741], [0.659, 0.418, 0.076], [0.659, 0.741, 0.583], [0.741, 0.583, 0.659], [0.741, 0.658, 0.082], [0.759, 0.418, 0.842], [0.759, 0.841, 0.917], [0.841, 0.424, 0.082], [0.841, 0.917, 0.759], [0.842, 0.583, 0.424], [0.842, 0.759, 0.418], [0.917, 0.658, 0.076], [0.917, 0.759, 0.841], [0.918, 0.159, 0.576], [0.918, 0.259, 0.342], [0.924, 0.083, 0.342], [0.924, 0.341, 0.582]]
}

=====

{
  "formula": "Zn2GaGe",
  "functional": "PBE",
  "state": "relaxed",
  "delta_e_f_kj_per_mol_fu": 55,
  "spacegroup": "R3m (160)",
  "vol_a3_per_cell": 224.86,
  "e_above_lowest_polymorph_ev_per_atom": 0.016,
  "cell": [[4.030, 0.000, 0.000], [-2.015, 3.490, 0.000], [0.000, 0.000, 15.991]],
  "species": ["Zn", "Zn", "Zn", "Zn", "Zn", "Zn", "Ga", "Ga", "Ga", "Ge", "Ge", "Ge"],
  "fractional_positions": [[0.000, 0.000, 0.000], [0.000, 0.000, 0.169], [0.333, 0.667, 0.667], [0.333, 0.667, 0.836], [0.667, 0.333, 0.333], [0.667, 0.333, 0.503], [0.000, 0.000, 0.583], [0.333, 0.667, 0.250], [0.667, 0.333, 0.916], [0.000, 0.000, 0.754], [0.333, 0.667, 0.421], [0.667, 0.333, 0.087]]
}

=====

{
  "formula": "AcPu2Ir",
  "functional": "PBE",
  "state": "relaxed",
  "delta_e_f_kj_per_mol_fu": -47,
  "spacegroup": "P4/mmm (123)",
  "vol_a3_per_cell": 107.98,
  "e_above_lowest_polymorph_ev_per_atom": 0.000,
  "cell": [[3.644, 0.000, 0.000], [0.000, 3.644, 0.000], [0.000, 0.000, 8.130]],
  "species": ["Ac", "Pu", "Pu", "Ir"],
  "fractional_positions": [[0.000, 0.000, 0.000], [0.500, 0.500, 0.317], [0.500, 0.500, 0.683], [0.000, 0.000, 0.500]]
}

=====

{
  "formula": "RbLiZnH4",
  "functional": "PBE",
  "state": "relaxed",
  "final_energy_ev_per_atom": -2.73,
  "spacegroup": "P2_1/m (11)",
  "vol_a3_per_cell": 199.35,
  "cell": [[4.841, 0.000, 0.000], [0.000, 5.621, 0.000], [-1.916, 0.000, 7.326]],
  "species": ["Rb", "Rb", "Li", "Li", "Zn", "Zn", "H", "H", "H", "H", "H", "H", "H", "H"],
  "fractional_positions": [[0.234, 0.250, 0.135], [0.766, 0.750, 0.865], [0.151, 0.750, 0.499], [0.849, 0.250, 0.501], [0.369, 0.250, 0.696], [0.631, 0.750, 0.304], [0.147, 0.016, 0.683], [0.147, 0.484, 0.683], [0.380, 0.750, 0.114], [0.476, 0.250, 0.509], [0.524, 0.750, 0.491], [0.620, 0.250, 0.886], [0.853, 0.516, 0.317], [0.853, 0.984, 0.317]]
}

=====

{
  "formula": "La2HoHg",
  "functional": "PBE",
  "state": "relaxed",
  "delta_e_f_kj_per_mol_fu": -39,
  "spacegroup": "Fm-3m (225)",
  "vol_a3_per_cell": 499.41,
  "e_above_lowest_polymorph_ev_per_atom": 0.137,
  "cell": [[7.934, 0.000, 0.000], [0.000, 7.934, 0.000], [0.000, 0.000, 7.934]],
  "species": ["La", "La", "La", "La", "La", "La", "La", "La", "Ho", "Ho", "Ho", "Ho", "Hg", "Hg", "Hg", "Hg"],
  "fractional_positions": [[0.250, 0.250, 0.250], [0.250, 0.250, 0.750], [0.250, 0.750, 0.250], [0.250, 0.750, 0.750], [0.750, 0.250, 0.250], [0.750, 0.250, 0.750], [0.750, 0.750, 0.250], [0.750, 0.750, 0.750], [0.000, 0.000, 0.000], [0.000, 0.500, 0.500], [0.500, 0.000, 0.500], [0.500, 0.500, 0.000], [0.000, 0.000, 0.500], [0.000, 0.500, 0.000], [0.500, 0.000, 0.000], [0.500, 0.500, 0.500]]
}

=====

{
  "formula": "KMg3I",
  "functional": "PBE",
  "state": "relaxed",
  "formation_energy_uncorrected_ev_per_fu": 2.85,
  "spacegroup": "Pm-3m (221)",
  "vol_a3_per_cell": 300.52,
  "e_above_lowest_polymorph_ev_per_atom": 0.187,
  "cell": [[6.698, 0.000, 0.000], [0.000, 6.698, 0.000], [0.000, 0.000, 6.698]],
  "species": ["K", "Mg", "Mg", "Mg", "I"],
  "fractional_positions": [[0.000, 0.000, 0.000], [0.000, 0.000, 0.500], [0.000, 0.500, 0.000], [0.500, 0.000, 0.000], [0.500, 0.500, 0.500]]
}